## Zn2CuB (PBE-GGA)

Data for Zn2CuB after structural relaxation.

Unit cell a=8.2451 b=8.2451 c=8.2451 alpha=154.10 beta=154.10 gamma=36.95
Element x y z (fractional)
Zn 0.0955 0.6250 0.9705
Zn 0.3750 0.3455 0.4705
Zn 0.6545 0.1250 0.0295
Zn 0.8750 0.9045 0.5295
Cu 0.2500 0.7500 0.5000
Cu 0.5000 0.5000 0.0000
B 0.0000 0.0000 0.0000
B 0.7500 0.2500 0.5000

Values from the calculation:
final energy: -2.649 eV per atom
formation energy: 681 meV per atom
space group: I-42d, No. 122
crystal system: tetragonal

---

## Zn2CuB2 (PBE-GGA)

Data for Zn2CuB2 after structural relaxation.

Unit cell a=7.6709 b=7.6709 c=7.6709 alpha=159.66 beta=159.66 gamma=28.92
Element x y z (fractional)
Zn 0.1228 0.1228 0.0000
Zn 0.8772 0.8772 0.0000
Cu 0.5000 0.5000 0.0000
B 0.2500 0.7500 0.5000
B 0.7500 0.2500 0.5000

Values from the calculation:
final energy: -3.497 eV per atom
formation energy: 503 meV per atom
space group: I4/mmm, No. 139
excess energy over the best structure of this formula in the dataset: 0 meV/atom
crystal system: tetragonal

---

## Zn3CuB (PBE-GGA)

Data for Zn3CuB after structural relaxation.

Unit cell a=4.1339 b=4.1339 c=4.1339 alpha=90.00 beta=90.00 gamma=90.00
Element x y z (fractional)
Zn 0.0000 0.0000 0.5000
Zn 0.0000 0.5000 0.0000
Zn 0.5000 0.0000 0.0000
Cu 0.5000 0.5000 0.5000
B 0.0000 0.0000 0.0000

Values from the calculation:
final energy: -2.537 eV per atom
formation energy: 382 meV per atom
space group: Pm-3m, No. 221
excess energy over the best structure of this formula in the dataset: 0 meV/atom
crystal system: cubic

---

## Zn2CuB2 (PBE-GGA)

Data for Zn2CuB2 after structural relaxation.

Unit cell a=6.7920 b=6.7920 c=2.4426 alpha=90.00 beta=90.00 gamma=90.00
Element x y z (fractional)
Zn 0.1355 0.3645 0.0000
Zn 0.3645 0.8645 0.0000
Zn 0.6355 0.1355 0.0000
Zn 0.8645 0.6355 0.0000
Cu 0.0000 0.0000 0.0000
Cu 0.5000 0.5000 0.0000
B 0.1693 0.6693 0.5000
B 0.3307 0.1693 0.5000
B 0.6693 0.8307 0.5000
B 0.8307 0.3307 0.5000

Values from the calculation:
final energy: -3.045 eV per atom
formation energy: 955 meV per atom
space group: P4/mbm, No. 127
excess energy over the best structure of this formula in the dataset: 452 meV/atom
crystal system: tetragonal

---

## ZnCu2B (PBE-GGA)

Data for ZnCu2B after structural relaxation.

Unit cell a=3.9533 b=3.9533 c=3.9533 alpha=60.00 beta=60.00 gamma=60.00
Element x y z (fractional)
Zn 0.0000 0.0000 0.0000
Cu 0.2500 0.2500 0.2500
Cu 0.7500 0.7500 0.7500
B 0.5000 0.5000 0.5000

Values from the calculation:
final energy: -3.582 eV per atom
formation energy: 454 meV per atom
space group: Fm-3m, No. 225
excess energy over the best structure of this formula in the dataset: 32 meV/atom
crystal system: cubic

---

## ZnCu2B (PBE-GGA)

Data for ZnCu2B after structural relaxation.

Unit cell a=5.2706 b=5.2706 c=5.2706 alpha=99.83 beta=99.83 gamma=131.20
Element x y z (fractional)
Zn 0.0000 0.0000 0.0000
Zn 0.7500 0.2500 0.5000
Cu 0.2275 0.6250 0.1025
Cu 0.3750 0.4775 0.6025
Cu 0.5225 0.1250 0.8975
Cu 0.8750 0.7725 0.3975
B 0.2500 0.7500 0.5000
B 0.5000 0.5000 0.0000

Values from the calculation:
final energy: -3.615 eV per atom
formation energy: 421 meV per atom
space group: I-42d, No. 122
excess energy over the best structure of this formula in the dataset: 0 meV/atom
crystal system: tetragonal

---

## ZrCuB (PBE-GGA)

Data for ZrCuB after structural relaxation.

Unit cell a=4.9889 b=4.9889 c=6.2219 alpha=116.02 beta=116.02 gamma=36.81
Element x y z (fractional)
Zr 0.0000 0.0000 0.0000
Zr 0.1799 0.1799 0.5883
Cu 0.3857 0.3857 0.3005
Cu 0.7194 0.7194 0.9781
B 0.4747 0.4747 0.6769
B 0.8907 0.8907 0.5633

Values from the calculation:
final energy: -6.653 eV per atom
formation energy: -213 meV per atom
space group: Cm, No. 8
crystal system: monoclinic

---

## ZrCuB (PBE-GGA)

Data for ZrCuB after structural relaxation.

Unit cell a=3.4378 b=3.4378 c=9.3598 alpha=90.00 beta=90.00 gamma=120.00
Element x y z (fractional)
Zr 0.0000 0.0000 0.0000
Zr 0.0000 0.0000 0.5000
Cu 0.3333 0.6667 0.2500
Cu 0.6667 0.3333 0.7500
B 0.0000 0.0000 0.2500
B 0.0000 0.0000 0.7500

Values from the calculation:
final energy: -6.014 eV per atom
formation energy: 426 meV per atom
space group: P6_3/mmc, No. 194
crystal system: hexagonal

---

## ZrCuB (PBE-GGA)

Data for ZrCuB after structural relaxation.

Unit cell a=6.6821 b=4.6992 c=5.2542 alpha=90.00 beta=90.00 gamma=90.00
Element x y z (fractional)
Zr 0.1732 0.2500 0.1379
Zr 0.3268 0.7500 0.6379
Zr 0.6732 0.2500 0.3621
Zr 0.8268 0.7500 0.8621
Cu 0.0323 0.2500 0.6366
Cu 0.4677 0.7500 0.1366
Cu 0.5323 0.2500 0.8634
Cu 0.9677 0.7500 0.3634
B 0.1670 0.7500 0.0586
B 0.3330 0.2500 0.5586
B 0.6670 0.7500 0.4414
B 0.8330 0.2500 0.9414

Values from the calculation:
final energy: -6.659 eV per atom
formation energy: -219 meV per atom
space group: Pnma, No. 62
crystal system: orthorhombic

---

## ZrCuB (PBE-GGA)

Data for ZrCuB after structural relaxation.

Unit cell a=4.6834 b=4.6834 c=6.1654 alpha=100.07 beta=100.07 gamma=39.49
Element x y z (fractional)
Zr 0.0000 0.0000 0.0000
Zr 0.2108 0.2108 0.6090
Cu 0.4705 0.4705 0.3573
Cu 0.7472 0.7472 0.2360
B 0.4939 0.4939 0.7050
B 0.9246 0.9246 0.5983

Values from the calculation:
final energy: -6.697 eV per atom
formation energy: -257 meV per atom
space group: Cm, No. 8
crystal system: monoclinic

---

## ZrCuB (PBE-GGA)

Data for ZrCuB after structural relaxation.

Unit cell a=4.8360 b=4.8360 c=6.2832 alpha=124.41 beta=124.41 gamma=41.99
Element x y z (fractional)
Zr 0.0691 0.0691 0.3157
Zr 0.9309 0.9309 0.6843
Cu 0.3035 0.3035 0.9006
Cu 0.6965 0.6965 0.0994
B 0.3803 0.3803 0.3666
B 0.6197 0.6197 0.6334

Values from the calculation:
final energy: -6.826 eV per atom
formation energy: -386 meV per atom
space group: C2/m, No. 12
crystal system: monoclinic

---

## ZrCuB (PBE-GGA)

Data for ZrCuB after structural relaxation.

Unit cell a=5.4475 b=5.4475 c=5.4475 alpha=143.23 beta=124.17 gamma=68.74
Element x y z (fractional)
Zr 0.1968 0.1968 0.0000
Zr 0.8032 0.8032 0.0000
Cu 0.2621 0.5000 0.7621
Cu 0.7379 0.5000 0.2379
B 0.4014 0.9014 0.5000
B 0.5986 0.0986 0.5000

Values from the calculation:
final energy: -6.756 eV per atom
formation energy: -316 meV per atom
space group: Immm, No. 71
crystal system: orthorhombic

---

no.,density of states at the Fermi level (states/eV per cell)
1,2.706
2,1.358
3,1.402
4,3.766
5,0.984
6,2.919
7,1.549
8,3.661
9,5.707
10,1.172
11,2.163
12,2.347